1.
## SiTc3I (PBE)

Data for an optimized crystal structure of SiTc3I.

a = 4.528 Å, b = 4.528 Å, c = 4.528 Å
α = 90.00°, β = 90.00°, γ = 90.00°
Sites, in units of the cell vectors:
Si  0.000  0.000  0.000
Tc  0.000  0.000  0.500
Tc  0.000  0.500  0.000
Tc  0.500  0.000  0.000
I  0.500  0.500  0.500

Results
Magnetization: 1.3 μB per formula unit
Formation energy from raw total energies: 26.59 kcal/mol of atoms
SG: Pm-3m, No. 221
Energy: -6.461 eV/atom
Relative energy among the computed polymorphs: 0.0000 eV/atom

2.
## Si2Tc2I (PBE)

Data for an optimized crystal structure of Si2Tc2I.

a = 7.369 Å, b = 7.369 Å, c = 7.369 Å
α = 152.55°, β = 152.55°, γ = 39.21°
Sites, in units of the cell vectors:
Si  0.250  0.750  0.500
Si  0.750  0.250  0.500
Tc  0.126  0.126  0.000
Tc  0.874  0.874  0.000
I  0.500  0.500  0.000

Results
Magnetization: 0.0 μB per formula unit
Formation energy from raw total energies: 2.11 kcal/mol of atoms
SG: I4/mmm, No. 139
Energy: -6.534 eV/atom